Record 1
Entry from the Alexandria database: a relaxed InTe2Pd8 crystal (PBE).

a b c (Å): 4.7530 6.1995 7.6145
angles (deg): 112.44 106.25 94.68
Positions (direct):
Pd 0.9084 0.4644 0.5194
Pd 0.9480 0.0119 0.5733
Pd 0.7587 0.2443 0.9088
Pd 0.7281 0.0030 0.1482
Pd 0.4891 0.7642 0.6702
Pd 0.2687 0.4984 0.9091
Pd 0.2986 0.8547 0.2990
Pd 0.2839 0.3481 0.2447
Te 0.4394 0.2912 0.5887
Te 0.7602 0.6108 0.2294
In 0.1167 0.9089 0.9092

Computed properties:
magnetic moment: 0.0000 μB/atom
E_form (uncorrected): -0.32 eV per atom
energy above the lowest structure with this stoichiometry: 29 kJ/mol of formula units


Record 2
Entry from the Alexandria database: a relaxed Ga2CoNi crystal (PBE).

a b c (Å): 5.4664 5.4664 5.4664
angles (deg): 59.03 152.25 129.02
Last column: magnetic moment on the atom in μB.
Positions (direct):
Ga 0.0000 0.2527 0.2527  -0.01
Ga 0.0000 0.7473 0.7473  -0.01
Ni 0.0000 0.5000 0.5000  0.22
Co 0.0000 0.0000 0.0000  1.40

Computed properties:
magnetic moment: 0.3831 μB/atom
energy: -17.4 eV per formula unit


Question: Among the records above, which one has the lowest magnetic moment?
Answer: InTe2Pd8


Question: Which value of magnetic moment does entry 2 give?
Answer: 0.3831 μB/atom


Question: Look up the magnetic moment of the second one.
Answer: 0.3831 μB/atom